VASP calculation (PBE+U) on a relaxed Na3La3MoO8 crystal.

The total magnetic moment comes out at 2.0 μB per formula unit. The calculation puts the electronic total energy at -6.842 eV per atom.

Cell: 7.1172 7.1563 6.8870 Å, 120.85 90.00 119.82°
Closest atoms and distances in Å follow each position.
Sites, in units of the cell vectors:
O (0.7887, 0.0120, 0.3008)  1 Mo 2.10
O (0.7820, 0.5639, 0.2985)  1 Mo 2.19, 2 La 2.43
O (0.2180, 0.4361, 0.7015)  1 Mo 2.19, 2 La 2.43
O (0.7372, 0.4744, 0.7172)  3 La 2.39, 3 Na 2.57-2.63
O (0.2113, 0.9880, 0.6992)  1 Mo 2.10
O (0.2233, 0.0120, 0.3008)  1 Mo 2.10
O (0.2628, 0.5256, 0.2828)  3 La 2.39, 3 Na 2.57-2.63
O (0.7767, 0.9880, 0.6992)  1 Mo 2.10
La (0.5000, 0.0000, 0.5000)  6 O 2.39-2.46
La (0.5000, 0.5000, 0.5000)  6 O 2.39-2.49
La (0.0000, 0.5000, 0.5000)  6 O 2.39-2.49
Na (0.5000, 0.5000, 0.0000)  6 O 2.57-2.58
Na (0.0000, 0.5000, 0.0000)  6 O 2.57-2.58
Na (0.0000, 0.0000, 0.0000)  6 O 2.55-2.63
Mo (0.0000, 0.0000, 0.5000)  6 O 2.10-2.19


VASP calculation (PBE+U) on a relaxed Na2LaMoO4 crystal.

The total magnetic moment comes out at 3.0 μB per formula unit. The calculation puts the electronic total energy at -6.432 eV per atom.

Cell: 3.4816 5.8892 5.9388 Å, 109.54 90.00 90.00°
Closest atoms and distances in Å follow each position.
Sites, in units of the cell vectors:
O (0.0000, 0.7597, 0.2194)  1 Mo 2.22, 2 La 2.39
O (0.5000, 0.7878, 0.7901)  2 Mo 2.26, 1 La 2.42, 1 Na 2.44
O (0.5000, 0.2122, 0.2099)  2 Mo 2.26, 1 La 2.42, 1 Na 2.44
O (0.0000, 0.2403, 0.7806)  1 Mo 2.22, 2 La 2.39
Na (0.0000, 0.5000, 0.5000)  6 O 2.61-2.63
Na (0.5000, 0.0000, 0.5000)  6 O 2.44-2.50
La (0.5000, 0.5000, 0.0000)  6 O 2.39-2.42
Mo (0.0000, 0.0000, 0.0000)  6 O 2.22-2.26